1.
Compound: Sm4Y3Er5
Source: Alexandria via LeMat-Bulk
Functional: PBE
Structure: optimized geometry

M_tot, μB/atom: 0.050
Energy of formation from the pure elements, meV/atom: 240
Calculated total energy, Ha/atom: -0.1782
Space-group type: C2/m

Unit cell a=5.8924 b=8.5507 c=9.6482 alpha=105.41 beta=72.22 gamma=69.85
Closest atoms and distances in Å follow each position.
Element x y z (fractional)
Sm 0.8626 0.2214 0.0534  2 Sm 3.27-3.64, 3 Er 3.43-3.51, 1 Y 3.43
Sm 0.1668 0.0479 0.6185  3 Y 3.34-3.53, 3 Sm 3.55-3.64, 3 Er 3.66-3.69
Sm 0.8332 0.9521 0.3815  3 Y 3.34-3.53, 3 Sm 3.55-3.64, 3 Er 3.66-3.69
Sm 0.1374 0.7786 0.9466  2 Sm 3.27-3.64, 3 Er 3.43-3.51, 1 Y 3.43
Y 0.5243 0.6878 0.2637  5 Er 3.11-3.44, 2 Sm 3.34-3.43
Y 0.0000 0.5000 0.5000  2 Er 2.95
Y 0.4757 0.3122 0.7363  5 Er 3.11-3.44, 2 Sm 3.34-3.43
Er 0.6303 0.9401 0.7993  2 Y 3.27-3.46, 2 Er 3.40-3.60, 2 Sm 3.66
Er 0.5000 0.5000 0.5000  4 Y 2.95-3.11
Er 0.2124 0.4592 0.1161  4 Y 3.19-3.44, 3 Sm 3.43-3.51
Er 0.7876 0.5408 0.8839  4 Y 3.19-3.44, 3 Sm 3.43-3.51
Er 0.3697 0.0599 0.2007  2 Y 3.27-3.46, 2 Er 3.40-3.60, 2 Sm 3.66

---

2.
Compound: BaGa9Cu2
Source: Alexandria via LeMat-Bulk
Functional: PBE
Structure: optimized geometry

M_tot, μB/atom: 0.000
Energy of formation from the pure elements, meV/atom: -166
Calculated total energy, Ha/atom: -0.1205
Space-group type: I4_1/amd

Unit cell a=7.5190 b=8.6513 c=8.6513 alpha=79.11 beta=64.24 gamma=64.24
Closest atoms and distances in Å follow each position.
Element x y z (fractional)
Ba 0.5000 0.0000 0.0000  18 Ga 3.48-3.76
Ba 0.2500 0.5000 0.5000  18 Ga 3.48-3.76
Ga 0.7500 0.5000 0.5000  4 Cu 2.91, 8 Ga 2.95
Ga 0.0000 0.0000 0.0000  4 Cu 2.91, 8 Ga 2.95
Ga 0.0102 0.9243 0.6774  2 Cu 2.64-2.78, 6 Ga 2.72-2.95
Ga 0.6119 0.0757 0.3226  2 Cu 2.64-2.78, 6 Ga 2.72-2.95
Ga 0.6845 0.1774 0.5757  2 Cu 2.64-2.78, 6 Ga 2.72-2.95
Ga 0.4376 0.8226 0.4243  2 Cu 2.64-2.78, 6 Ga 2.72-2.95
Ga 0.7398 0.8226 0.5757  2 Cu 2.64-2.78, 6 Ga 2.72-2.95
Ga 0.1381 0.1774 0.4243  2 Cu 2.64-2.78, 6 Ga 2.72-2.95
Ga 0.0655 0.9243 0.3226  2 Cu 2.64-2.78, 6 Ga 2.72-2.95
Ga 0.3124 0.0757 0.6774  2 Cu 2.64-2.78, 6 Ga 2.72-2.95
Ga 0.7398 0.5757 0.8226  2 Cu 2.64-2.78, 6 Ga 2.72-2.95
Ga 0.1381 0.4243 0.1774  2 Cu 2.64-2.78, 6 Ga 2.72-2.95
Ga 0.0655 0.3226 0.9243  2 Cu 2.64-2.78, 6 Ga 2.72-2.95
Ga 0.3124 0.6774 0.0757  2 Cu 2.64-2.78, 6 Ga 2.72-2.95
Ga 0.0102 0.6774 0.9243  2 Cu 2.64-2.78, 6 Ga 2.72-2.95
Ga 0.6119 0.3226 0.0757  2 Cu 2.64-2.78, 6 Ga 2.72-2.95
Ga 0.6845 0.5757 0.1774  2 Cu 2.64-2.78, 6 Ga 2.72-2.95
Ga 0.4376 0.4243 0.8226  2 Cu 2.64-2.78, 6 Ga 2.72-2.95
Cu 0.8750 0.2500 0.7500  10 Ga 2.64-2.91
Cu 0.8750 0.7500 0.2500  10 Ga 2.64-2.91
Cu 0.8750 0.2500 0.2500  10 Ga 2.64-2.91
Cu 0.3750 0.7500 0.7500  10 Ga 2.64-2.91

---

3.
Compound: Sn2PdPt
Source: Alexandria via LeMat-Bulk
Functional: PBE
Structure: optimized geometry

M_tot, μB/atom: 0.000
ΔE to the lowest computed polymorph, meV/atom: 173
Energy of formation from the pure elements, meV/atom: -306
Calculated total energy, Ha/atom: -0.1880
Space-group type: P4/mmm

Unit cell a=3.4882 b=4.6782 c=4.6782 alpha=90.00 beta=90.00 gamma=90.00
Closest atoms and distances in Å follow each position.
Element x y z (fractional)
Pd 0.5000 0.0000 0.0000  8 Sn 2.92
Sn 0.0000 0.0000 0.5000  4 Pd 2.92, 4 Pt 2.92
Sn 0.0000 0.5000 0.0000  4 Pd 2.92, 4 Pt 2.92
Pt 0.5000 0.5000 0.5000  8 Sn 2.92